DFT (PBE-GGA) results for a relaxed structure of Li2Ac2Cd3.

Values from the calculation:
theoretical density = 7.09 g cm⁻³
calculated volume = 27.0 Å³/atom
total moment = 0.00 Bohr magnetons per cell
formation energy from the elements = -0.2200 eV per atom
electronic total energy = -2.3328 eV per atom

abc: 11.3314 4.7206 7.8575
angles: 90.00 116.13 90.00
With the nearest neighbours (Å) after each atom.
Space group C2/m (No. 12)
Symmetry-distinct sites (fractional):
Li  0.1338  0.0000  0.2163  5 Cd 2.90-2.92, 1 Ac 3.22
Ac  0.1457  0.0000  0.7689  4 Li 3.22-3.58, 4 Cd 3.49-3.60
Cd  0.0000  0.5000  0.0000  4 Li 2.91, 2 Cd 3.04
Cd  0.1275  0.5000  0.4313  3 Li 2.90-2.92, 1 Cd 3.04